Record 1
Density functional theory data (PBE-GGA) for LiPm3P2N6 after structural relaxation.

Computed properties:
E_form (uncorrected) = -915.1 meV/atom

a = 5.6176 Å, b = 5.6176 Å, c = 6.0494 Å
α = 90.00°, β = 90.00°, γ = 120.00°
Space group P-3m1 (No. 164)
Unique sites:
Li 0.0000 0.0000 0.0000 x1
Pm 0.0000 0.0000 0.5000 x1
Pm 0.3333 0.6667 0.1480 x2
P 0.3333 0.6667 0.6894 x2
N 0.1765 0.3529 0.7856 x6



Record 2
Density functional theory data (PBE-GGA) for Pm7DyY3 after structural relaxation.

Computed properties:
ΔE_f = 182 meV/atom

a = 19.171 Å, b = 7.234 Å, c = 12.534 Å
α = 90.00°, β = 115.68°, γ = 90.00°
Space group C2/c (No. 15)
Unique sites:
Pm 0.000 0.228 0.250 x4
Pm 0.161 0.496 0.776 x8
Pm 0.168 0.247 0.030 x8
Pm 0.168 0.249 0.530 x8
Dy 0.000 0.000 0.000 x4
Y 0.000 0.500 0.000 x4
Y 0.168 0.000 0.275 x8



Record 3
Density functional theory data (PBE-GGA) for ZnC3 after structural relaxation.

Computed properties:
ΔE_f = 1324 meV/atom
Energy relative to the lowest polymorph listed for this composition = 3.485 eV/f.u.

a = 3.673 Å, b = 5.296 Å, c = 5.677 Å
α = 90.00°, β = 90.00°, γ = 90.00°
Space group Pmmn (No. 59, origin choice 2)
Unique sites:
Zn 0.250 0.250 0.247 x2
C 0.250 0.618 0.275 x4
C 0.250 0.750 0.490 x2



Record 4
Density functional theory data (PBE-GGA) for PaFeOs2 after structural relaxation.

Computed properties:
ΔE_f = -80 meV/atom
Energy relative to the lowest polymorph listed for this composition = 0.000 eV/f.u.

a = 4.056 Å, b = 4.056 Å, c = 3.972 Å
α = 90.00°, β = 90.00°, γ = 90.00°
Space group P4/mmm (No. 123)
Unique sites:
Pa 0.000 0.000 0.000 x1
Fe 0.500 0.500 0.000 x1
Os 0.000 0.500 0.500 x2